Compound: Cs2TlHSe2
Source: the Alexandria database
Functional: PBE
Structure: relaxed

Summary:
V ... 1063.8 Å³/cell
Calculated total energy ... -17.4 eV/f.u.

Unit cell a=11.1727 b=13.2214 c=7.2012 alpha=90.00 beta=90.00 gamma=90.00
Space group Ibam (No. 72)
Symmetry-distinct sites (fractional):
1 Cs 0.1535 0.1121 0.0000 [8 per cell]
2 Tl 0.0000 0.5000 0.2500 [4 per cell]
3 H 0.0000 0.0000 0.2500 [4 per cell]
4 Se 0.1312 0.3935 0.0000 [8 per cell]

---

Compound: Cs2UH2Se4
Source: the Alexandria database
Functional: PBE
Structure: relaxed

Summary:
V ... 519.4 Å³/cell
Density of states at the Fermi level ... 5.3 states/eV per cell
Calculated total energy ... -40.5 eV/f.u.

Unit cell a=18.8896 b=3.8720 c=7.7912 alpha=90.00 beta=114.30 gamma=90.00
Space group C2/m (No. 12)
Symmetry-distinct sites (fractional):
1 Cs 0.1495 0.0000 0.1492 [4 per cell]
2 U 0.0000 0.0000 0.5000 [2 per cell]
3 H 0.1649 0.5000 0.6635 [4 per cell]
4 Se 0.9998 0.5000 0.2464 [4 per cell]
5 Se 0.1667 0.0000 0.6656 [4 per cell]

---

Compound: Cs2H2WSe4
Source: the Alexandria database
Functional: PBE
Structure: relaxed

Summary:
V ... 548.5 Å³/cell
Density of states at the Fermi level ... 6.0 states/eV per cell
Calculated total energy ... -38.8 eV/f.u.

Unit cell a=13.7410 b=5.8006 c=7.0994 alpha=90.00 beta=104.23 gamma=90.00
Space group C2/m (No. 12)
Symmetry-distinct sites (fractional):
1 Cs 0.1656 0.0000 0.2763 [4 per cell]
2 H 0.1103 0.5000 0.3953 [4 per cell]
3 W 0.0000 0.5000 0.5000 [2 per cell]
4 Se 0.0894 0.2343 0.7530 [8 per cell]

---

Compound: CsZrHSe2
Source: the Alexandria database
Functional: PBE
Structure: relaxed

Summary:
V ... 127.7 Å³/cell
Density of states at the Fermi level ... 0.5 states/eV per cell
Calculated total energy ... -24.1 eV/f.u.

Unit cell a=5.3687 b=5.3687 c=4.4299 alpha=90.00 beta=90.00 gamma=90.00
Space group P4/mmm (No. 123)
Symmetry-distinct sites (fractional):
1 Cs 0.0000 0.0000 0.0000 [1 per cell]
2 Zr 0.5000 0.5000 0.5000 [1 per cell]
3 H 0.5000 0.5000 0.0000 [1 per cell]
4 Se 0.0000 0.5000 0.5000 [2 per cell]

---

Compound: Cs12Si3H5
Source: the Alexandria database
Functional: PBE
Structure: relaxed

Summary:
V ... 7767.3 Å³/cell
Density of states at the Fermi level ... 84.1 states/eV per cell
Calculated total energy ... -40.6 eV/f.u.

Unit cell a=19.8041 b=19.8041 c=19.8041 alpha=90.00 beta=90.00 gamma=90.00
Space group Ia-3d (No. 230)
Symmetry-distinct sites (fractional):
1 Cs 0.0257 0.0551 0.6517 [96 per cell]
2 Si 0.0000 0.2500 0.1250 [24 per cell]
3 H 0.0000 0.0000 0.0000 [16 per cell]
4 H 0.0000 0.2500 0.3750 [24 per cell]

---

Compound: Cs3SiH8
Source: the Alexandria database
Functional: PBE
Structure: relaxed

Summary:
V ... 418.0 Å³/cell
Calculated total energy ... -34.4 eV/f.u.

Unit cell a=8.1657 b=8.1657 c=7.2381 alpha=90.00 beta=90.00 gamma=120.00
Space group P6_3mc (No. 186)
Symmetry-distinct sites (fractional):
1 Cs 0.1685 0.3370 0.0000 [6 per cell]
2 Si 0.3333 0.6667 0.4414 [2 per cell]
3 H 0.0000 0.0000 0.2486 [2 per cell]
4 H 0.1442 0.5721 0.3131 [6 per cell]
5 H 0.2397 0.4795 0.5711 [6 per cell]
6 H 0.3333 0.6667 0.7544 [2 per cell]